# SrMn3Te

SrMn3Te after structural relaxation (PBE, Alexandria).

Values from the calculation:
Energy above the lowest structure with this stoichiometry in meV per atom: 1158
E_form (uncorrected) in meV/atom: 1798.4
Crystal system: cubic
SG: No. 221
N(E_F) in states/eV/atom: 1.33

a b c (Å): 5.2156 5.2156 5.2156
angles (deg): 90.00 90.00 90.00
Closest atoms and distances in Å follow each position.
Atoms (fractional coordinates):
Sr 0.0000 0.0000 0.0000  6 Mn 2.61
Mn 0.0000 0.0000 0.5000  2 Sr 2.61
Mn 0.0000 0.5000 0.0000  2 Sr 2.61
Mn 0.5000 0.0000 0.0000  2 Sr 2.61
Te 0.5000 0.5000 0.5000  12 Mn 3.69